# 1
Material: CuIrOs2
Method: DFT, PBE
State: relaxed

CIF file:
```
data_CuIrOs2
_chemical_formula_sum 'Cu2 Ir2 Os4'
_space_group_name_H-M_alt 'I -4 m 2'
_space_group_IT_number 119
_space_group_name_Hall 'I -4 -2'
_cell_length_a 3.793
_cell_length_b 3.793
_cell_length_c 7.743
_cell_angle_alpha 90.00
_cell_angle_beta 90.00
_cell_angle_gamma 90.00
loop_
_atom_site_label
_atom_site_type_symbol
_atom_site_fract_x
_atom_site_fract_y
_atom_site_fract_z
_atom_site_occupancy
Cu1 Cu 0.000 0.000 0.000 1
Ir1 Ir 0.000 0.500 0.750 1
Os1 Os 0.000 0.000 0.500 1
Os2 Os 0.000 0.500 0.250 1
```

## Properties
N(E_F) ... 9.7 states/eV per cell
Formation energy from the elements ... 0.29 eV/atom
Distance to the lowest polymorph of the same formula ... 0.134 eV/atom

---

# 2
Material: CuIrOs2
Method: DFT, PBE
State: relaxed

CIF file:
```
data_CuIrOs2
_chemical_formula_sum 'Cu3 Ir3 Os6'
_space_group_name_H-M_alt 'R 3 m'
_space_group_IT_number 160
_space_group_name_Hall 'R 3 -2"'
_cell_length_a 2.7304
_cell_length_b 2.7304
_cell_length_c 26.1243
_cell_angle_alpha 90.00
_cell_angle_beta 90.00
_cell_angle_gamma 120.00
loop_
_atom_site_label
_atom_site_type_symbol
_atom_site_fract_x
_atom_site_fract_y
_atom_site_fract_z
_atom_site_occupancy
Cu1 Cu 0.0000 0.0000 0.0000 1
Ir1 Ir 0.0000 0.0000 0.2506 1
Os1 Os 0.0000 0.0000 0.4991 1
Os2 Os 0.0000 0.0000 0.7506 1
```

## Properties
N(E_F) ... 12.2 states/eV per cell
Formation energy from the elements ... 0.16 eV/atom
Distance to the lowest polymorph of the same formula ... 0.000 eV/atom

---

# 3
Material: CuIrOs2
Method: DFT, PBE
State: relaxed

CIF file:
```
data_CuIrOs2
_chemical_formula_sum 'Cu1 Ir1 Os2'
_space_group_name_H-M_alt 'P m m 2'
_space_group_IT_number 25
_space_group_name_Hall 'P 2 -2'
_cell_length_a 2.740
_cell_length_b 3.791
_cell_length_c 5.357
_cell_angle_alpha 90.00
_cell_angle_beta 90.00
_cell_angle_gamma 90.00
loop_
_atom_site_label
_atom_site_type_symbol
_atom_site_fract_x
_atom_site_fract_y
_atom_site_fract_z
_atom_site_occupancy
Cu1 Cu 0.000 0.000 0.000 1
Ir1 Ir 0.500 0.500 0.238 1
Os1 Os 0.000 0.000 0.509 1
Os2 Os 0.500 0.500 0.746 1
```

## Properties
N(E_F) ... 2.6 states/eV per cell
Formation energy from the elements ... 0.17 eV/atom
Distance to the lowest polymorph of the same formula ... 0.017 eV/atom

---

# 4
Material: CuIrOs2
Method: DFT, PBE
State: relaxed

CIF file:
```
data_CuIrOs2
_chemical_formula_sum 'Cu2 Ir2 Os4'
_space_group_name_H-M_alt 'I 4/m m m'
_space_group_IT_number 139
_space_group_name_Hall '-I 4 2'
_cell_length_a 3.750
_cell_length_b 3.750
_cell_length_c 7.928
_cell_angle_alpha 90.00
_cell_angle_beta 90.00
_cell_angle_gamma 90.00
loop_
_atom_site_label
_atom_site_type_symbol
_atom_site_fract_x
_atom_site_fract_y
_atom_site_fract_z
_atom_site_occupancy
Cu1 Cu 0.000 0.000 0.000 1
Ir1 Ir 0.000 0.000 0.500 1
Os1 Os 0.000 0.500 0.250 1
```

## Properties
N(E_F) ... 8.9 states/eV per cell
Formation energy from the elements ... 0.32 eV/atom
Distance to the lowest polymorph of the same formula ... 0.160 eV/atom

---

# 5
Material: CuIrOs2
Method: DFT, PBE
State: relaxed

CIF file:
```
data_CuIrOs2
_chemical_formula_sum 'Cu2 Ir2 Os4'
_space_group_name_H-M_alt 'C m m m'
_space_group_IT_number 65
_space_group_name_Hall '-C 2 2'
_cell_length_a 2.703
_cell_length_b 4.615
_cell_length_c 9.228
_cell_angle_alpha 90.00
_cell_angle_beta 90.00
_cell_angle_gamma 90.00
loop_
_atom_site_label
_atom_site_type_symbol
_atom_site_fract_x
_atom_site_fract_y
_atom_site_fract_z
_atom_site_occupancy
Cu1 Cu 0.000 0.000 0.000 1
Ir1 Ir 0.000 0.000 0.500 1
Os1 Os 0.000 0.500 0.245 1
```

## Properties
N(E_F) ... 9.2 states/eV per cell
Formation energy from the elements ... 0.51 eV/atom
Distance to the lowest polymorph of the same formula ... 0.357 eV/atom

---

# 6
Material: CuIrOs2
Method: DFT, PBE
State: relaxed

CIF file:
```
data_CuIrOs2
_chemical_formula_sum 'Cu2 Ir2 Os4'
_space_group_name_H-M_alt 'C 1 2/m 1'
_space_group_IT_number 12
_space_group_name_Hall '-C 2y'
_cell_length_a 8.969
_cell_length_b 2.712
_cell_length_c 4.667
_cell_angle_alpha 90.00
_cell_angle_beta 99.54
_cell_angle_gamma 90.00
loop_
_atom_site_label
_atom_site_type_symbol
_atom_site_fract_x
_atom_site_fract_y
_atom_site_fract_z
_atom_site_occupancy
Cu1 Cu 0.000 0.000 0.000 1
Ir1 Ir 0.000 0.500 0.500 1
Os1 Os 0.245 0.000 0.753 1
```

## Properties
N(E_F) ... 9.4 states/eV per cell
Formation energy from the elements ... 0.24 eV/atom
Distance to the lowest polymorph of the same formula ... 0.084 eV/atom

---

# 7
Material: CuIrOs2
Method: DFT, PBE
State: relaxed

CIF file:
```
data_CuIrOs2
_chemical_formula_sum 'Cu4 Ir4 Os8'
_space_group_name_H-M_alt 'F -4 3 m'
_space_group_IT_number 216
_space_group_name_Hall 'F -4 2 3'
_cell_length_a 6.107
_cell_length_b 6.107
_cell_length_c 6.107
_cell_angle_alpha 90.00
_cell_angle_beta 90.00
_cell_angle_gamma 90.00
loop_
_atom_site_label
_atom_site_type_symbol
_atom_site_fract_x
_atom_site_fract_y
_atom_site_fract_z
_atom_site_occupancy
Cu1 Cu 0.000 0.000 0.000 1
Ir1 Ir 0.250 0.250 0.750 1
Os1 Os 0.000 0.000 0.500 1
Os2 Os 0.250 0.250 0.250 1
```

## Properties
N(E_F) ... 15.9 states/eV per cell
Formation energy from the elements ... 0.53 eV/atom
Distance to the lowest polymorph of the same formula ... 0.378 eV/atom

---

# 8
Material: CuIrOs2
Method: DFT, PBE
State: relaxed

CIF file:
```
data_CuIrOs2
_chemical_formula_sum 'Cu1 Ir1 Os2'
_space_group_name_H-M_alt 'P 1 2/m 1'
_space_group_IT_number 10
_space_group_name_Hall '-P 2y'
_cell_length_a 4.683
_cell_length_b 2.706
_cell_length_c 4.700
_cell_angle_alpha 90.00
_cell_angle_beta 109.74
_cell_angle_gamma 90.00
loop_
_atom_site_label
_atom_site_type_symbol
_atom_site_fract_x
_atom_site_fract_y
_atom_site_fract_z
_atom_site_occupancy
Cu1 Cu 0.000 0.000 0.000 1
Ir1 Ir 0.500 0.500 0.000 1
Os1 Os 0.000 0.500 0.500 1
Os2 Os 0.500 0.000 0.500 1
```

## Properties
N(E_F) ... 5.1 states/eV per cell
Formation energy from the elements ... 0.32 eV/atom
Distance to the lowest polymorph of the same formula ... 0.162 eV/atom

---

# 9
Material: CuIrOs2
Method: DFT, PBE
State: relaxed

CIF file:
```
data_CuIrOs2
_chemical_formula_sum 'Cu4 Ir4 Os8'
_space_group_name_H-M_alt 'I -4 2 d'
_space_group_IT_number 122
_space_group_name_Hall 'I -4 2bw'
_cell_length_a 5.647
_cell_length_b 5.647
_cell_length_c 10.306
_cell_angle_alpha 90.00
_cell_angle_beta 90.00
_cell_angle_gamma 90.00
loop_
_atom_site_label
_atom_site_type_symbol
_atom_site_fract_x
_atom_site_fract_y
_atom_site_fract_z
_atom_site_occupancy
Cu1 Cu 0.000 0.000 0.000 1
Ir1 Ir 0.000 0.000 0.500 1
Os1 Os 0.249 0.250 0.625 1
```

## Properties
N(E_F) ... 14.4 states/eV per cell
Formation energy from the elements ... 1.60 eV/atom
Distance to the lowest polymorph of the same formula ... 1.441 eV/atom

---

# 10
Material: Cu2IrOs
Method: DFT, PBE
State: relaxed

CIF file:
```
data_Cu2IrOs
_chemical_formula_sum 'Cu8 Ir4 Os4'
_space_group_name_H-M_alt 'F -4 3 m'
_space_group_IT_number 216
_space_group_name_Hall 'F -4 2 3'
_cell_length_a 6.005
_cell_length_b 6.005
_cell_length_c 6.005
_cell_angle_alpha 90.00
_cell_angle_beta 90.00
_cell_angle_gamma 90.00
loop_
_atom_site_label
_atom_site_type_symbol
_atom_site_fract_x
_atom_site_fract_y
_atom_site_fract_z
_atom_site_occupancy
Cu1 Cu 0.000 0.000 0.000 1
Cu2 Cu 0.250 0.250 0.250 1
Ir1 Ir 0.000 0.000 0.500 1
Os1 Os 0.250 0.250 0.750 1
```

## Properties
N(E_F) ... 15.2 states/eV per cell
Formation energy from the elements ... 0.36 eV/atom
Distance to the lowest polymorph of the same formula ... 0.244 eV/atom

---

# 11
Material: Cu2IrOs
Method: DFT, PBE
State: relaxed

CIF file:
```
data_Cu2IrOs
_chemical_formula_sum 'Cu6 Ir3 Os3'
_space_group_name_H-M_alt 'R -3 m'
_space_group_IT_number 166
_space_group_name_Hall '-R 3 2"'
_cell_length_a 2.6801
_cell_length_b 2.6801
_cell_length_c 25.9642
_cell_angle_alpha 90.00
_cell_angle_beta 90.00
_cell_angle_gamma 120.00
loop_
_atom_site_label
_atom_site_type_symbol
_atom_site_fract_x
_atom_site_fract_y
_atom_site_fract_z
_atom_site_occupancy
Cu1 Cu 0.0000 0.0000 0.2503 1
Ir1 Ir 0.0000 0.0000 0.5000 1
Os1 Os 0.0000 0.0000 0.0000 1
```

## Properties
N(E_F) ... 12.1 states/eV per cell
Formation energy from the elements ... 0.21 eV/atom
Distance to the lowest polymorph of the same formula ... 0.095 eV/atom

---

# 12
Material: CuIrOs2
Method: DFT, PBE
State: relaxed

CIF file:
```
data_CuIrOs2
_chemical_formula_sum 'Cu2 Ir2 Os4'
_space_group_name_H-M_alt 'C m m m'
_space_group_IT_number 65
_space_group_name_Hall '-C 2 2'
_cell_length_a 5.286
_cell_length_b 7.893
_cell_length_c 2.690
_cell_angle_alpha 90.00
_cell_angle_beta 90.00
_cell_angle_gamma 90.00
loop_
_atom_site_label
_atom_site_type_symbol
_atom_site_fract_x
_atom_site_fract_y
_atom_site_fract_z
_atom_site_occupancy
Cu1 Cu 0.000 0.000 0.000 1
Ir1 Ir 0.000 0.500 0.000 1
Os1 Os 0.250 0.250 0.500 1
```

## Properties
N(E_F) ... 11.5 states/eV per cell
Formation energy from the elements ... 0.37 eV/atom
Distance to the lowest polymorph of the same formula ... 0.212 eV/atom